YAsSCl2: relaxed, PBE-GGA.

a = 4.9036 Å, b = 4.9036 Å, c = 5.1324 Å
α = 90.00°, β = 90.00°, γ = 90.00°
Last column: nearest neighbours and their distance in Å.
Positions (direct):
Y (0.0000, 0.0000, 0.0000)  4 S 3.47, 8 Cl 3.55
As (0.5000, 0.5000, 0.5000)  4 Cl 2.45, 2 S 2.57
S (0.5000, 0.5000, 0.0000)  2 As 2.57
Cl (0.0000, 0.5000, 0.5000)  2 As 2.45
Cl (0.5000, 0.0000, 0.5000)  2 As 2.45

Output
As for the space group: P4/mmm (123). The value obtained for the density is 3.59 Mg/m³. The calculation puts the formation energy (no corrections) at -0.315 eV per atom. As for the energy above the lowest structure with this stoichiometry: 0.5044 eV per atom.


ScInSnI6: relaxed, PBE-GGA.

a = 7.8718 Å, b = 7.8718 Å, c = 7.4615 Å
α = 90.00°, β = 90.00°, γ = 120.00°
Last column: nearest neighbours and their distance in Å.
Positions (direct):
Sc (0.0000, 0.0000, 0.0000)  6 I 2.91
In (0.3333, 0.6667, 0.5000)  6 I 3.49
Sn (0.6667, 0.3333, 0.0000)  6 I 3.18
I (0.3069, 0.0150, 0.2292)  1 Sc 2.91, 1 Sn 3.18
I (0.3069, 0.2920, 0.7708)  1 Sc 2.91, 1 Sn 3.18
I (0.7080, 0.0150, 0.7708)  1 Sc 2.91, 1 Sn 3.18
I (0.7080, 0.6931, 0.2292)  1 Sc 2.91, 1 Sn 3.18
I (0.9850, 0.2920, 0.2292)  1 Sc 2.91, 1 Sn 3.18
I (0.9850, 0.6931, 0.7708)  1 Sc 2.91, 1 Sn 3.18

Output
As for the space group: P312 (149). The value obtained for the density is 4.31 Mg/m³. The calculation puts the formation energy (no corrections) at -0.813 eV per atom.


TlFeTc4: relaxed, PBE-GGA.

a = 5.1842 Å, b = 5.1842 Å, c = 5.1842 Å
α = 60.00°, β = 60.00°, γ = 60.00°
Last column: nearest neighbours and their distance in Å.
Positions (direct):
Tl (0.0000, 0.0000, 0.0000)  12 Tc 3.04, 4 Fe 3.17
Fe (0.2500, 0.2500, 0.2500)  12 Tc 3.04, 4 Tl 3.17
Tc (0.1260, 0.6247, 0.6247)  6 Tc 2.59-2.60
Tc (0.6247, 0.1260, 0.6247)  6 Tc 2.59-2.60
Tc (0.6247, 0.6247, 0.1260)  6 Tc 2.59-2.60
Tc (0.6247, 0.6247, 0.6247)  6 Tc 2.59-2.60

Output
The calculated formation energy comes out at 3.7 eV per formula unit. As for the space group: F-43m (216). The value obtained for the density is 10.99 Mg/m³.


KCuI2: relaxed, PBE-GGA.

a = 5.6001 Å, b = 5.6001 Å, c = 24.0489 Å
α = 90.00°, β = 90.00°, γ = 120.00°
Last column: nearest neighbours and their distance in Å.
Positions (direct):
K (0.0000, 0.0000, 0.0000)  6 I 3.61
K (0.3333, 0.6667, 0.6667)  6 I 3.61
K (0.6667, 0.3333, 0.3333)  6 I 3.61
Cu (0.0000, 0.0000, 0.5000)  2 I 2.41
Cu (0.3333, 0.6667, 0.1667)  2 I 2.41
Cu (0.6667, 0.3333, 0.8333)  2 I 2.41
I (0.0000, 0.0000, 0.3998)  1 Cu 2.41
I (0.0000, 0.0000, 0.6002)  1 Cu 2.41
I (0.3333, 0.6667, 0.0664)  1 Cu 2.41
I (0.3333, 0.6667, 0.2669)  1 Cu 2.41
I (0.6667, 0.3333, 0.7331)  1 Cu 2.41
I (0.6667, 0.3333, 0.9336)  1 Cu 2.41

Output
As for the space group: R-3m (166). The value obtained for the density is 2.72 Mg/m³. The calculation puts the formation energy (no corrections) at -0.742 eV per atom. As for the energy above the lowest structure with this stoichiometry: 0.0543 eV per atom.


Cs5KAu5: relaxed, PBE-GGA.

a = 8.9036 Å, b = 8.9036 Å, c = 10.2810 Å
α = 106.72°, β = 106.72°, γ = 47.92°
Last column: nearest neighbours and their distance in Å.
Positions (direct):
Cs (0.0000, 0.0000, 0.0000)  4 Au 3.54-3.61
Cs (0.3245, 0.3245, 0.1782)  5 Au 3.62-3.73
Cs (0.3272, 0.3272, 0.6506)  5 Au 3.59-3.69
Cs (0.6728, 0.6728, 0.3494)  5 Au 3.59-3.69
Cs (0.6755, 0.6755, 0.8218)  5 Au 3.62-3.73
K (0.0000, 0.0000, 0.5000)  6 Au 3.44-3.62
Au (0.1531, 0.1531, 0.3328)  1 K 3.44, 5 Cs 3.54-3.63
Au (0.1624, 0.1624, 0.8279)  1 K 3.57, 5 Cs 3.61-3.73
Au (0.5000, 0.5000, 0.5000)  4 Cs 3.61-3.63, 2 K 3.62
Au (0.8376, 0.8376, 0.1721)  1 K 3.57, 5 Cs 3.61-3.73
Au (0.8469, 0.8469, 0.6672)  1 K 3.44, 5 Cs 3.54-3.63

Output
The calculated formation energy comes out at -3.0 eV per formula unit. As for the space group: C2/m (12). The value obtained for the density is 4.88 Mg/m³.


BeSi2Br: relaxed, PBE-GGA.

a = 2.7025 Å, b = 2.7025 Å, c = 11.4204 Å
α = 90.00°, β = 90.00°, γ = 90.00°
Last column: nearest neighbours and their distance in Å.
Positions (direct):
Be (0.0000, 0.0000, 0.0000)  8 Si 2.46, 4 Be 2.70
Si (0.5000, 0.5000, 0.1359)  4 Be 2.46, 4 Si 2.70
Si (0.5000, 0.5000, 0.8641)  4 Be 2.46, 4 Si 2.70
Br (0.0000, 0.0000, 0.5000)  4 Br 2.70

Output
As for the space group: P4/mmm (123). The value obtained for the density is 2.89 Mg/m³. The calculation puts the formation energy (no corrections) at 0.513 eV per atom. As for the energy above the lowest structure with this stoichiometry: 0.4652 eV per atom.


Hf2ScFe: relaxed, PBE-GGA.

a = 3.1821 Å, b = 3.1821 Å, c = 7.7067 Å
α = 90.00°, β = 90.00°, γ = 90.00°
Last column: nearest neighbours and their distance in Å.
Positions (direct):
Hf (0.0000, 0.0000, 0.1990)  4 Fe 2.72
Hf (0.0000, 0.0000, 0.8010)  4 Fe 2.72
Sc (0.5000, 0.5000, 0.5000)  4 Sc 3.18, 8 Hf 3.23
Fe (0.5000, 0.5000, 0.0000)  8 Hf 2.72

Output
The calculated formation energy comes out at -0.1 eV per formula unit. As for the space group: P4/mmm (123). The value obtained for the density is 9.74 Mg/m³. As for the energy above the lowest structure with this stoichiometry: 0.0843 eV per atom.


MnCr2Cl: relaxed, PBE-GGA.

a = 5.7555 Å, b = 5.7555 Å, c = 5.7555 Å
α = 90.00°, β = 90.00°, γ = 90.00°
Last column: nearest neighbours and their distance in Å.
Positions (direct):
Mn (0.0000, 0.0000, 0.0000)  8 Cr 2.49
Mn (0.0000, 0.5000, 0.5000)  8 Cr 2.49
Mn (0.5000, 0.0000, 0.5000)  8 Cr 2.49
Mn (0.5000, 0.5000, 0.0000)  8 Cr 2.49
Cr (0.2500, 0.2500, 0.2500)  4 Mn 2.49, 4 Cl 2.49
Cr (0.2500, 0.2500, 0.7500)  4 Cl 2.49, 4 Mn 2.49
Cr (0.2500, 0.7500, 0.2500)  4 Cl 2.49, 4 Mn 2.49
Cr (0.2500, 0.7500, 0.7500)  4 Cl 2.49, 4 Mn 2.49
Cr (0.7500, 0.2500, 0.2500)  4 Cl 2.49, 4 Mn 2.49
Cr (0.7500, 0.2500, 0.7500)  4 Cl 2.49, 4 Mn 2.49
Cr (0.7500, 0.7500, 0.2500)  4 Cl 2.49, 4 Mn 2.49
Cr (0.7500, 0.7500, 0.7500)  4 Cl 2.49, 4 Mn 2.49
Cl (0.0000, 0.0000, 0.5000)  8 Cr 2.49
Cl (0.0000, 0.5000, 0.0000)  8 Cr 2.49
Cl (0.5000, 0.0000, 0.0000)  8 Cr 2.49
Cl (0.5000, 0.5000, 0.5000)  8 Cr 2.49

Output
As for the space group: Fm-3m (225). The value obtained for the density is 6.77 Mg/m³. The calculation puts the formation energy (no corrections) at 0.935 eV per atom. As for the energy above the lowest structure with this stoichiometry: 0.8398 eV per atom.


HRh2Br: relaxed, PBE-GGA.

a = 4.9579 Å, b = 4.9579 Å, c = 9.3736 Å
α = 90.00°, β = 90.00°, γ = 90.00°
Last column: nearest neighbours and their distance in Å.
Positions (direct):
H (0.0000, 0.0000, 0.0000)  4 Rh 1.82
H (0.0000, 0.5000, 0.2500)  4 Rh 1.82
H (0.5000, 0.0000, 0.7500)  4 Rh 1.82
H (0.5000, 0.5000, 0.5000)  4 Rh 1.82
Rh (0.1307, 0.2500, 0.1250)  2 H 1.82
Rh (0.2500, 0.6307, 0.3750)  2 H 1.82
Rh (0.2500, 0.8693, 0.8750)  2 H 1.82
Rh (0.3693, 0.2500, 0.6250)  2 H 1.82
Rh (0.6307, 0.7500, 0.6250)  2 H 1.82
Rh (0.7500, 0.1307, 0.8750)  2 H 1.82
Rh (0.7500, 0.3693, 0.3750)  2 H 1.82
Rh (0.8693, 0.7500, 0.1250)  2 H 1.82
Br (0.0000, 0.0000, 0.5000)  4 Rh 2.50
Br (0.0000, 0.5000, 0.7500)  4 Rh 2.50
Br (0.5000, 0.0000, 0.2500)  4 Rh 2.50
Br (0.5000, 0.5000, 0.0000)  4 Rh 2.50

Output
As for the space group: I-42d (122). The value obtained for the density is 8.27 Mg/m³. As for the energy above the lowest structure with this stoichiometry: 0.0000 eV per atom.


Ac12Pr5Ho: relaxed, PBE-GGA.

a = 6.2721 Å, b = 11.7747 Å, c = 11.7747 Å
α = 60.63°, β = 90.00°, γ = 90.00°
Last column: nearest neighbours and their distance in Å.
Positions (direct):
Ac (0.0000, 0.1615, 0.8385)  3 Pr 3.79-4.03, 2 Ho 3.83, 7 Ac 3.84-3.99
Ac (0.0000, 0.1713, 0.4965)  5 Pr 3.84-4.01, 7 Ac 3.87-3.98
Ac (0.0000, 0.4965, 0.1713)  5 Pr 3.84-4.01, 7 Ac 3.87-3.98
Ac (0.0000, 0.5053, 0.8290)  5 Pr 3.81-4.02, 7 Ac 3.85-3.99
Ac (0.0000, 0.8290, 0.5053)  5 Pr 3.81-4.02, 7 Ac 3.85-3.99
Ac (0.0000, 0.8385, 0.1615)  3 Pr 3.79-4.03, 2 Ho 3.83, 7 Ac 3.84-3.99
Ac (0.5000, 0.2780, 0.9533)  4 Pr 3.84-4.01, 7 Ac 3.86-4.00, 1 Ho 3.94
Ac (0.5000, 0.2853, 0.6132)  4 Pr 3.84-3.97, 7 Ac 3.90-3.96, 1 Ho 4.00
Ac (0.5000, 0.6132, 0.2853)  4 Pr 3.84-3.97, 7 Ac 3.90-3.96, 1 Ho 4.00
Ac (0.5000, 0.6217, 0.9458)  1 Ho 3.83, 4 Pr 3.85-4.02, 7 Ac 3.85-4.00
Ac (0.5000, 0.9458, 0.6217)  1 Ho 3.83, 4 Pr 3.85-4.02, 7 Ac 3.85-4.00
Ac (0.5000, 0.9533, 0.2780)  4 Pr 3.84-4.01, 7 Ac 3.86-4.00, 1 Ho 3.94
Pr (0.0000, 0.1707, 0.1707)  2 Pr 3.83, 10 Ac 3.84-4.02
Pr (0.0000, 0.5053, 0.5053)  10 Ac 3.81-4.03, 2 Pr 3.82
Pr (0.0000, 0.8395, 0.8395)  10 Ac 3.79-4.01, 2 Ho 3.82
Pr (0.5000, 0.2789, 0.2789)  2 Pr 3.83, 10 Ac 3.84-4.02
Pr (0.5000, 0.6122, 0.6122)  2 Pr 3.82, 10 Ac 3.84-4.01
Ho (0.5000, 0.9464, 0.9464)  2 Pr 3.82, 10 Ac 3.83-4.00

Output
The calculated formation energy comes out at 0.8 eV per formula unit. As for the space group: Amm2 (38). The value obtained for the density is 7.87 Mg/m³.


YTePt2: relaxed, PBE-GGA.

a = 4.2940 Å, b = 4.2940 Å, c = 8.8047 Å
α = 90.00°, β = 90.00°, γ = 90.00°
Last column: nearest neighbours and their distance in Å.
Positions (direct):
Y (0.0000, 0.0000, 0.0000)  4 Te 3.04, 8 Pt 3.07
Y (0.5000, 0.5000, 0.5000)  4 Te 3.04, 8 Pt 3.07
Te (0.0000, 0.0000, 0.5000)  4 Y 3.04, 8 Pt 3.07
Te (0.5000, 0.5000, 0.0000)  4 Y 3.04, 8 Pt 3.07
Pt (0.0000, 0.5000, 0.2500)  4 Pt 3.04, 4 Te 3.07, 4 Y 3.07
Pt (0.0000, 0.5000, 0.7500)  4 Pt 3.04, 4 Te 3.07, 4 Y 3.07
Pt (0.5000, 0.0000, 0.2500)  4 Pt 3.04, 4 Te 3.07, 4 Y 3.07
Pt (0.5000, 0.0000, 0.7500)  4 Pt 3.04, 4 Te 3.07, 4 Y 3.07

Output
As for the space group: I4/mmm (139). The value obtained for the density is 12.41 Mg/m³. The calculation puts the formation energy (no corrections) at -0.739 eV per atom. As for the energy above the lowest structure with this stoichiometry: 0.0387 eV per atom.


ZrTaRhW: relaxed, PBE-GGA.

a = 6.5276 Å, b = 6.5276 Å, c = 6.5276 Å
α = 90.00°, β = 90.00°, γ = 90.00°
Last column: nearest neighbours and their distance in Å.
Positions (direct):
Zr (0.0000, 0.0000, 0.0000)  4 W 2.83, 4 Rh 2.83
Zr (0.0000, 0.5000, 0.5000)  4 W 2.83, 4 Rh 2.83
Zr (0.5000, 0.0000, 0.5000)  4 W 2.83, 4 Rh 2.83
Zr (0.5000, 0.5000, 0.0000)  4 W 2.83, 4 Rh 2.83
Ta (0.0000, 0.0000, 0.5000)  4 Rh 2.83, 4 W 2.83
Ta (0.0000, 0.5000, 0.0000)  4 Rh 2.83, 4 W 2.83
Ta (0.5000, 0.0000, 0.0000)  4 Rh 2.83, 4 W 2.83
Ta (0.5000, 0.5000, 0.5000)  4 W 2.83, 4 Rh 2.83
Rh (0.2500, 0.2500, 0.7500)  4 Zr 2.83, 4 Ta 2.83
Rh (0.2500, 0.7500, 0.2500)  4 Zr 2.83, 4 Ta 2.83
Rh (0.7500, 0.2500, 0.2500)  4 Zr 2.83, 4 Ta 2.83
Rh (0.7500, 0.7500, 0.7500)  4 Zr 2.83, 4 Ta 2.83
W (0.2500, 0.2500, 0.2500)  4 Zr 2.83, 4 Ta 2.83
W (0.2500, 0.7500, 0.7500)  4 Zr 2.83, 4 Ta 2.83
W (0.7500, 0.2500, 0.7500)  4 Zr 2.83, 4 Ta 2.83
W (0.7500, 0.7500, 0.2500)  4 Zr 2.83, 4 Ta 2.83

Output
The calculated formation energy comes out at -1.2 eV per formula unit. As for the space group: F-43m (216). The value obtained for the density is 13.35 Mg/m³.